[1]
Compound: PuNp2S5
Source: Alexandria
Functional: PBE-GGA
Structure: optimized geometry

Computed properties:
**ΔE_f (raw)**: -1440 meV per atom

Cell: 7.3642 11.7116 3.9614 Å, 90.00 90.00 90.00°
Space group Pbam (No. 55)
Symmetry-distinct sites (fractional):
Pu  0.0000  0.0000  0.0000 (multiplicity 2)
Np  0.0308  0.3242  0.5000 (multiplicity 4)
S  0.0000  0.5000  0.0000 (multiplicity 2)
S  0.1720  0.1039  0.5000 (multiplicity 4)
S  0.1775  0.7965  0.0000 (multiplicity 4)

[2]
Compound: SbIr2Au
Source: Alexandria
Functional: PBE-GGA
Structure: optimized geometry

Computed properties:
**ΔE_f (raw)**: 422 meV per atom

Cell: 4.0292 4.0292 8.4255 Å, 90.00 90.00 90.00°
Space group I-4m2 (No. 119)
Symmetry-distinct sites (fractional):
Sb  0.0000  0.0000  0.0000 (multiplicity 2)
Ir  0.0000  0.0000  0.5000 (multiplicity 2)
Ir  0.0000  0.5000  0.2500 (multiplicity 2)
Au  0.0000  0.5000  0.7500 (multiplicity 2)

[3]
Compound: BaAcTl4
Source: Alexandria
Functional: PBE-GGA
Structure: optimized geometry

Computed properties:
**Formation energy from the elements**: -257.0 meV/atom
**Offset from the most stable computed form**: 0.0718 eV/atom

Cell: 9.2724 9.2724 9.2724 Å, 90.00 90.00 90.00°
Space group F-43m (No. 216)
Symmetry-distinct sites (fractional):
Ba  0.0000  0.0000  0.0000 (multiplicity 4)
Ac  0.2500  0.2500  0.2500 (multiplicity 4)
Tl  0.1248  0.1248  0.6248 (multiplicity 16)

[4]
Compound: UMn5
Source: Alexandria
Functional: PBE-GGA
Structure: optimized geometry

Computed properties:
**Formation energy from the elements**: 45.1 meV/atom

Cell: 3.7368 11.0015 3.6637 Å, 90.00 90.00 90.00°
Space group Cmmm (No. 65)
Symmetry-distinct sites (fractional):
U  0.0000  0.0000  0.0000 (multiplicity 2)
Mn  0.0000  0.1827  0.5000 (multiplicity 4)
Mn  0.0000  0.3126  0.0000 (multiplicity 4)
Mn  0.0000  0.5000  0.5000 (multiplicity 2)

[5]
Compound: AlVH
Source: Alexandria
Functional: PBE-GGA
Structure: optimized geometry

Computed properties:
**Offset from the most stable computed form**: 0.1642 eV/atom

Cell: 2.6476 2.6476 9.4126 Å, 90.00 90.00 90.00°
Space group I4mm (No. 107)
Symmetry-distinct sites (fractional):
Al  0.0000  0.0000  0.0000 (multiplicity 2)
V  0.0000  0.0000  0.7169 (multiplicity 2)
H  0.0000  0.0000  0.2684 (multiplicity 2)

[6]
Compound: PmPrAlAu
Source: Alexandria
Functional: PBE-GGA
Structure: optimized geometry

Computed properties:
**Formation energy from the elements**: -479.5 meV/atom

Cell: 7.5003 7.5003 7.5003 Å, 90.00 90.00 90.00°
Space group F-43m (No. 216)
Symmetry-distinct sites (fractional):
Pm  0.0000  0.0000  0.0000 (multiplicity 4)
Pr  0.0000  0.0000  0.5000 (multiplicity 4)
Al  0.2500  0.2500  0.7500 (multiplicity 4)
Au  0.2500  0.2500  0.2500 (multiplicity 4)

[7]
Compound: NpTi2Cu
Source: Alexandria
Functional: PBE-GGA
Structure: optimized geometry

Computed properties:
**Formation energy from the elements**: 108.4 meV/atom
**Offset from the most stable computed form**: 0.0000 eV/atom

Cell: 2.6883 2.6883 8.8070 Å, 90.00 90.00 90.00°
Space group P4/mmm (No. 123)
Symmetry-distinct sites (fractional):
Np  0.0000  0.0000  0.0000 (multiplicity 1)
Ti  0.5000  0.5000  0.2721 (multiplicity 2)
Cu  0.0000  0.0000  0.5000 (multiplicity 1)

[8]
Compound: Ba2CuClF5
Source: Alexandria
Functional: PBE-GGA
Structure: optimized geometry

Computed properties:
**ΔE_f (raw)**: -2752 meV per atom

Cell: 6.1558 6.1558 8.3498 Å, 90.00 90.00 90.00°
Space group I4mm (No. 107)
Symmetry-distinct sites (fractional):
Ba  0.0000  0.5000  0.0000 (multiplicity 4)
Cu  0.0000  0.0000  0.2834 (multiplicity 2)
Cl  0.0000  0.0000  0.5636 (multiplicity 2)
F  0.0000  0.0000  0.0461 (multiplicity 2)
F  0.2358  0.2358  0.2920 (multiplicity 8)

[9]
Compound: KCr2Si
Source: Alexandria
Functional: PBE-GGA
Structure: optimized geometry

Computed properties:
**ΔE_f (raw)**: 628 meV per atom

Cell: 8.7528 2.9436 6.5725 Å, 90.00 95.17 90.00°
Space group C2/m (No. 12)
Symmetry-distinct sites (fractional):
K  0.0000  0.0000  0.0000 (multiplicity 2)
Cr  0.2254  0.0000  0.6077 (multiplicity 4)
Si  0.0000  0.5000  0.5000 (multiplicity 2)

[10]
Compound: MgZn2Ni
Source: Alexandria
Functional: PBE-GGA
Structure: optimized geometry

Computed properties:
**Formation energy from the elements**: -179.1 meV/atom

Cell: 3.7730 3.7730 7.9591 Å, 90.00 90.00 90.00°
Space group I4/mmm (No. 139)
Symmetry-distinct sites (fractional):
Mg  0.0000  0.0000  0.0000 (multiplicity 2)
Zn  0.0000  0.5000  0.2500 (multiplicity 4)
Ni  0.0000  0.0000  0.5000 (multiplicity 2)

[11]
Compound: KPIr2
Source: Alexandria
Functional: PBE-GGA
Structure: optimized geometry

Computed properties:
**Formation energy from the elements**: 42.9 meV/atom

Cell: 4.0574 4.0574 19.1222 Å, 90.00 90.00 120.00°
Space group R-3m (No. 166, hexagonal axes)
Symmetry-distinct sites (fractional):
K  0.0000  0.0000  0.0000 (multiplicity 3)
P  0.0000  0.0000  0.5000 (multiplicity 3)
Ir  0.0000  0.0000  0.1974 (multiplicity 6)

[12]
Compound: YEr2Zr
Source: Alexandria
Functional: PBE-GGA
Structure: optimized geometry

Computed properties:
**Formation energy from the elements**: 164.1 meV/atom
**Offset from the most stable computed form**: 0.1000 eV/atom

Cell: 3.9894 3.9894 7.2563 Å, 90.00 90.00 90.00°
Space group P4/mmm (No. 123)
Symmetry-distinct sites (fractional):
Y  0.0000  0.0000  0.0000 (multiplicity 1)
Er  0.5000  0.5000  0.2760 (multiplicity 2)
Zr  0.0000  0.0000  0.5000 (multiplicity 1)

These records have calculated volume values of 341.7, 136.8, 797.2, 150.6, 66.0, 421.9, 63.6, 316.4, 168.7, 113.3, 272.6, 115.5 Å³ per cell, in the order they appear.
These records have electronic total energy values of -144.74, -46.87, -68.15, -113.73, -32.61, -73.87, -32.39, -87.83, -46.51, -21.28, -72.17, -23.48 eV/cell, in the order they appear.